First-principles (PBE) data for a relaxed structure of TaCl5, as listed in Alexandria.

It has space group C2/m (No. 12), with a = 20.143 Å, b = 18.923 Å, c = 6.533 Å, α = 90.00°, β = 90.95° and γ = 90.00°. Symmetry generates all atoms from Ta at (0.000, 0.106, 0.000), Ta at (0.167, 0.394, 0.472), Cl at (0.047, 0.000, 0.201), Cl at (0.052, 0.182, 0.221), Cl at (0.075, 0.405, 0.256), Cl at (0.092, 0.095, 0.795), Cl at (0.114, 0.318, 0.687), Cl at (0.119, 0.500, 0.667), Cl at (0.215, 0.500, 0.277), Cl at (0.219, 0.319, 0.257) and Cl at (0.241, 0.095, 0.312).

The calculation puts the energy above the lowest structure with this stoichiometry at 0.00 kJ/mol of atoms.

***

First-principles (PBE) data for a relaxed structure of CsLiVI6, as listed in Alexandria.

It has space group P312 (No. 149), with a = 7.4122 Å, b = 7.4122 Å, c = 8.7407 Å, α = 90.00°, β = 90.00° and γ = 120.00°. Symmetry generates all atoms from Cs at (0.0000, 0.0000, 0.0000), Li at (0.3333, 0.6667, 0.5000), V at (0.6667, 0.3333, 0.5000) and I at (0.3787, 0.0205, 0.6814).

The total energy is -3.126 eV per atom.

***

First-principles (PBE) data for a relaxed structure of TiFe3Hg, as listed in Alexandria.

It has space group Pm-3m (No. 221), with a = 4.373 Å, b = 4.373 Å, c = 4.373 Å, α = 90.00°, β = 90.00° and γ = 90.00°. Symmetry generates all atoms from Ti at (0.000, 0.000, 0.000), Fe at (0.000, 0.000, 0.500) and Hg at (0.500, 0.500, 0.500).

The calculation puts the energy above the lowest structure with this stoichiometry at 0.00 kJ/mol of atoms. As for the formation energy: 1052.1 meV/atom.

***

First-principles (PBE) data for a relaxed structure of Nb2BS, as listed in Alexandria.

It has space group I-42d (No. 122), with a = 5.252 Å, b = 5.252 Å, c = 10.552 Å, α = 90.00°, β = 90.00° and γ = 90.00°. Symmetry generates all atoms from Nb at (0.204, 0.250, 0.125), B at (0.000, 0.000, 0.000) and S at (0.000, 0.000, 0.500).

The calculation puts the energy above the lowest structure with this stoichiometry at 15.27 kJ/mol of atoms.

***

First-principles (PBE) data for a relaxed structure of Ti5Co2Pd2, as listed in Alexandria.

It has space group Cmce (No. 64), with a = 14.901 Å, b = 6.063 Å, c = 6.112 Å, α = 90.00°, β = 90.00° and γ = 90.00°. Symmetry generates all atoms from Ti at (0.000, 0.000, 0.000), Ti at (0.128, 0.182, 0.317), Co at (0.000, 0.134, 0.635) and Pd at (0.224, 0.000, 0.000).

As for the formation energy: -370.8 meV/atom.

***

First-principles (PBE) data for a relaxed structure of Re4AsW, as listed in Alexandria.

It has space group F-43m (No. 216), with a = 7.348 Å, b = 7.348 Å, c = 7.348 Å, α = 90.00°, β = 90.00° and γ = 90.00°. Symmetry generates all atoms from Re at (0.125, 0.125, 0.125), As at (0.000, 0.000, 0.500) and W at (0.250, 0.250, 0.750).

As for the formation energy: 695.4 meV/atom.

***

First-principles (PBE) data for a relaxed structure of La5CoSb2, as listed in Alexandria.

It has space group I4mm (No. 107), with a = 7.498 Å, b = 7.498 Å, c = 9.128 Å, α = 90.00°, β = 90.00° and γ = 90.00°. Symmetry generates all atoms from La at (0.000, 0.000, 0.000), La at (0.248, 0.248, 0.723), Co at (0.000, 0.000, 0.730) and Sb at (0.000, 0.500, 0.477).

The calculation puts the energy above the lowest structure with this stoichiometry at 21.98 kJ/mol of atoms.

***

First-principles (PBE) data for a relaxed structure of MnTlTe2Au, as listed in Alexandria.

It has space group P2/c (No. 13), with a = 7.806 Å, b = 5.505 Å, c = 7.452 Å, α = 90.00°, β = 100.70° and γ = 90.00°. Symmetry generates all atoms from Mn at (0.000, 0.046, 0.250), Tl at (0.500, 0.358, 0.250), Te at (0.244, 0.168, 0.563) and Au at (0.000, 0.500, 0.000).

The total energy is -4.360 eV per atom.

***

First-principles (PBE) data for a relaxed structure of Tb5Zn2Cd2, as listed in Alexandria.

It has space group Cmce (No. 64), with a = 17.507 Å, b = 7.367 Å, c = 7.421 Å, α = 90.00°, β = 90.00° and γ = 90.00°. Symmetry generates all atoms from Tb at (0.000, 0.000, 0.000), Tb at (0.131, 0.185, 0.319), Zn at (0.000, 0.118, 0.621) and Cd at (0.226, 0.000, 0.000).

As for the formation energy: -219.9 meV/atom.

***

First-principles (PBE) data for a relaxed structure of MnTcIrCl2, as listed in Alexandria.

It has space group P4/mmm (No. 123), with a = 4.699 Å, b = 4.699 Å, c = 5.094 Å, α = 90.00°, β = 90.00° and γ = 90.00°. Symmetry generates all atoms from Mn at (0.000, 0.000, 0.000), Tc at (0.500, 0.500, 0.000), Ir at (0.000, 0.000, 0.500) and Cl at (0.000, 0.500, 0.500).

The total energy is -5.224 eV per atom.

***

First-principles (PBE) data for a relaxed structure of NdAsPd3, as listed in Alexandria.

It has space group I-4m2 (No. 119), with a = 5.286 Å, b = 5.286 Å, c = 16.216 Å, α = 90.00°, β = 90.00° and γ = 90.00°. Symmetry generates all atoms from Nd at (0.000, 0.000, 0.154), As at (0.000, 0.000, 0.500), As at (0.000, 0.500, 0.750), Pd at (0.000, 0.244, 0.625) and Pd at (0.000, 0.500, 0.047).

The calculation puts the energy above the lowest structure with this stoichiometry at 4.89 kJ/mol of atoms. As for the formation energy: -492.5 meV/atom.

***

First-principles (PBE) data for a relaxed structure of Cr2CuBr, as listed in Alexandria.

It has space group Cmmm (No. 65), with a = 6.383 Å, b = 6.849 Å, c = 3.166 Å, α = 90.00°, β = 90.00° and γ = 90.00°. Symmetry generates all atoms from Cr at (0.250, 0.250, 0.000), Cu at (0.000, 0.000, 0.500) and Br at (0.000, 0.500, 0.500).

The calculation puts the energy above the lowest structure with this stoichiometry at 35.57 kJ/mol of atoms.